Here is an optimized crystal structure of TmThAl from the Open Quantum Materials Database. Energies are from PBE-GGA.

Unit cell a=7.1163 b=7.1163 c=7.1163 alpha=90.00 beta=90.00 gamma=90.00
Space group F-43m (No. 216)
Asymmetric unit:
Tm1 0.0000 0.0000 0.0000 (multiplicity 4)
Th1 0.0000 0.0000 0.5000 (multiplicity 4)
Al1 0.2500 0.2500 0.7500 (multiplicity 4)

Properties
As for the crystal system: cubic. For the energy relative to the lowest polymorph listed for this composition, the calculation gives 0.000 eV per formula unit. For the total DFT energy (no corrections), the calculation gives -61.90 eV for the cell shown. Its spin magnetization is 0.01 μB/atom. The volume is 360.38 Å³/cell.

=====

Here is an optimized crystal structure of ThUAl from the Open Quantum Materials Database. Energies are from PBE-GGA.

Unit cell a=6.9127 b=6.9127 c=6.9127 alpha=90.00 beta=90.00 gamma=90.00
Space group F-43m (No. 216)
Asymmetric unit:
Th1 0.0000 0.0000 0.0000 (multiplicity 4)
U1 0.0000 0.0000 0.5000 (multiplicity 4)
Al1 0.2500 0.2500 0.2500 (multiplicity 4)

Properties
As for the crystal system: cubic. For the energy relative to the lowest polymorph listed for this composition, the calculation gives 0.000 eV per formula unit. For the total DFT energy (no corrections), the calculation gives -82.84 eV for the cell shown. Its spin magnetization is 0.92 μB/atom. The volume is 330.32 Å³/cell.

=====

Here is an optimized crystal structure of Th3AlW from the Open Quantum Materials Database. Energies are from PBE-GGA.

Unit cell a=7.4687 b=7.4687 c=11.2121 alpha=90.00 beta=90.00 gamma=90.00
Space group I4/mcm (No. 140)
Asymmetric unit:
Th1 0.0000 0.0000 0.2500 (multiplicity 4)
Th2 0.1638 0.3362 0.0000 (multiplicity 8)
Al1 0.0000 0.5000 0.2500 (multiplicity 4)
W1 0.0000 0.0000 0.0000 (multiplicity 4)

Properties
As for the crystal system: tetragonal. For the total DFT energy (no corrections), the calculation gives -146.82 eV for the cell shown. Its spin magnetization is 0.01 μB/atom. The volume is 625.43 Å³/cell.

=====

Here is an optimized crystal structure of ThZrAl from the Open Quantum Materials Database. Energies are from PBE-GGA.

Unit cell a=6.8893 b=6.8893 c=6.8893 alpha=90.00 beta=90.00 gamma=90.00
Space group F-43m (No. 216)
Asymmetric unit:
Th1 0.0000 0.0000 0.0000 (multiplicity 4)
Zr1 0.0000 0.0000 0.5000 (multiplicity 4)
Al1 0.2500 0.2500 0.2500 (multiplicity 4)

Properties
As for the crystal system: cubic. For the total DFT energy (no corrections), the calculation gives -77.36 eV for the cell shown. Its spin magnetization is 0.00 μB/atom. The volume is 326.99 Å³/cell.

=====

Here is an optimized crystal structure of TmAlTl from the Open Quantum Materials Database. Energies are from PBE-GGA.

Unit cell a=6.9735 b=6.9735 c=6.9735 alpha=90.00 beta=90.00 gamma=90.00
Space group F-43m (No. 216)
Asymmetric unit:
Tm1 0.0000 0.0000 0.0000 (multiplicity 4)
Al1 0.2500 0.2500 0.7500 (multiplicity 4)
Tl1 0.2500 0.2500 0.2500 (multiplicity 4)

Properties
As for the crystal system: cubic. For the energy relative to the lowest polymorph listed for this composition, the calculation gives 0.477 eV per formula unit. For the total DFT energy (no corrections), the calculation gives -40.26 eV for the cell shown. Its spin magnetization is 0.00 μB/atom. The volume is 339.12 Å³/cell.

=====

Here is an optimized crystal structure of TmAlTl from the Open Quantum Materials Database. Energies are from PBE-GGA.

Unit cell a=6.7865 b=6.7865 c=6.7865 alpha=90.00 beta=90.00 gamma=90.00
Space group F-43m (No. 216)
Asymmetric unit:
Tm1 0.0000 0.0000 0.0000 (multiplicity 4)
Al1 0.2500 0.2500 0.7500 (multiplicity 4)
Tl1 0.0000 0.0000 0.5000 (multiplicity 4)

Properties
As for the crystal system: cubic. For the energy relative to the lowest polymorph listed for this composition, the calculation gives 0.000 eV per formula unit. For the total DFT energy (no corrections), the calculation gives -42.17 eV for the cell shown. Its spin magnetization is 0.00 μB/atom. The volume is 312.56 Å³/cell.

=====

Here is an optimized crystal structure of Al2TlZn from the Open Quantum Materials Database. Energies are from PBE-GGA.

Unit cell a=6.9233 b=6.9233 c=6.9233 alpha=90.00 beta=90.00 gamma=90.00
Space group F-43m (No. 216)
Asymmetric unit:
Al1 0.0000 0.0000 0.0000 (multiplicity 4)
Al2 0.2500 0.2500 0.2500 (multiplicity 4)
Tl1 0.0000 0.0000 0.5000 (multiplicity 4)
Zn1 0.2500 0.2500 0.7500 (multiplicity 4)

Properties
As for the crystal system: cubic. For the total DFT energy (no corrections), the calculation gives -39.64 eV for the cell shown. The volume is 331.86 Å³/cell.

=====

Here is an optimized crystal structure of ZrAlTl from the Open Quantum Materials Database. Energies are from PBE-GGA.

Unit cell a=6.6158 b=6.6158 c=6.6158 alpha=90.00 beta=90.00 gamma=90.00
Space group F-43m (No. 216)
Asymmetric unit:
Zr1 0.0000 0.0000 0.0000 (multiplicity 4)
Al1 0.0000 0.0000 0.5000 (multiplicity 4)
Tl1 0.2500 0.2500 0.7500 (multiplicity 4)

Properties
As for the crystal system: cubic. For the energy relative to the lowest polymorph listed for this composition, the calculation gives 0.311 eV per formula unit. For the total DFT energy (no corrections), the calculation gives -53.07 eV for the cell shown. Its spin magnetization is 0.01 μB/atom. The volume is 289.57 Å³/cell.

=====

Here is an optimized crystal structure of ZrAlTl from the Open Quantum Materials Database. Energies are from PBE-GGA.

Unit cell a=6.7532 b=6.7532 c=6.7532 alpha=90.00 beta=90.00 gamma=90.00
Space group F-43m (No. 216)
Asymmetric unit:
Zr1 0.0000 0.0000 0.0000 (multiplicity 4)
Al1 0.2500 0.2500 0.7500 (multiplicity 4)
Tl1 0.2500 0.2500 0.2500 (multiplicity 4)

Properties
As for the crystal system: cubic. For the energy relative to the lowest polymorph listed for this composition, the calculation gives 0.000 eV per formula unit. For the total DFT energy (no corrections), the calculation gives -54.31 eV for the cell shown. Its spin magnetization is 0.00 μB/atom. The volume is 307.99 Å³/cell.

=====

Here is an optimized crystal structure of ZrAl2Tl from the Open Quantum Materials Database. Energies are from PBE-GGA.

Unit cell a=6.9526 b=6.9526 c=6.9526 alpha=90.00 beta=90.00 gamma=90.00
Space group F-43m (No. 216)
Asymmetric unit:
Zr1 0.0000 0.0000 0.0000 (multiplicity 4)
Al1 0.0000 0.0000 0.5000 (multiplicity 4)
Al2 0.2500 0.2500 0.2500 (multiplicity 4)
Tl1 0.2500 0.2500 0.7500 (multiplicity 4)

Properties
As for the crystal system: cubic. For the total DFT energy (no corrections), the calculation gives -68.95 eV for the cell shown. Its spin magnetization is 0.07 μB/atom. The volume is 336.08 Å³/cell.

=====

Here is an optimized crystal structure of Tm2Al from the Open Quantum Materials Database. Energies are from PBE-GGA.

Unit cell a=7.0568 b=7.0568 c=7.0568 alpha=90.00 beta=90.00 gamma=90.00
Space group Fm-3m (No. 225)
Asymmetric unit:
Tm1 0.2500 0.2500 0.2500 (multiplicity 8)
Al1 0.0000 0.0000 0.0000 (multiplicity 4)

Properties
As for the crystal system: cubic. For the total DFT energy (no corrections), the calculation gives -50.93 eV for the cell shown. Its spin magnetization is 0.02 μB/atom. The volume is 351.41 Å³/cell.

=====

Here is an optimized crystal structure of Tm3Al2 from the Open Quantum Materials Database. Energies are from PBE-GGA.

Unit cell a=8.1157 b=8.1157 c=7.5000 alpha=90.00 beta=90.00 gamma=90.00
Space group P4_2/mnm (No. 136)
Asymmetric unit:
Tm1 0.0000 0.5000 0.2500 (multiplicity 4)
Tm2 0.1504 0.1504 0.0000 (multiplicity 4)
Tm3 0.2027 0.2027 0.5000 (multiplicity 4)
Al1 0.1193 0.8807 0.3036 (multiplicity 8)

Properties
As for the crystal system: tetragonal. For the total DFT energy (no corrections), the calculation gives -90.23 eV for the cell shown. Its spin magnetization is 0.00 μB/atom. The volume is 493.98 Å³/cell.